Compound: Fe3AgB
Source: the Alexandria database
Functional: PBE
Structure: optimized geometry

Properties
Formation energy ... 0.21 eV per atom

```
5
Lattice="3.926 0.000 0.000 0.000 3.926 0.000 0.000 0.000 3.926" Properties=species:S:1:pos:R:3 pbc="T T T"
Fe 0.000 0.000 1.963
Fe 0.000 1.963 0.000
Fe 1.963 0.000 0.000
Ag 1.963 1.963 1.963
B 0.000 0.000 0.000
```

---

Compound: Tl4SeIBr
Source: the Alexandria database
Functional: PBE
Structure: optimized geometry

Properties
E_form (uncorrected) ... -560 meV/atom

```
14
Lattice="8.789 0.000 0.000 0.000 7.328 0.000 -2.136 0.000 8.789" Properties=species:S:1:pos:R:3 pbc="T T T"
Tl 0.673 1.832 2.009
Tl 0.508 3.712 7.695
Tl 0.508 7.280 7.695
Tl 1.992 5.496 4.723
Tl 4.662 1.832 4.066
Tl 6.145 0.048 1.094
Tl 6.145 3.616 1.094
Tl 5.980 5.496 6.781
Se 3.514 1.832 1.027
Se 3.139 5.496 7.762
I 0.673 5.496 1.372
I 5.980 1.832 7.417
Br 1.771 1.832 5.096
Br 4.882 5.496 3.693
```

---

Compound: Ni3HgAs
Source: the Alexandria database
Functional: PBE
Structure: optimized geometry

Properties
Formation energy ... 0.32 eV per atom

```
5
Lattice="4.365 0.000 0.000 0.000 4.365 0.000 0.000 0.000 4.365" Properties=species:S:1:pos:R:3 pbc="T T T"
Ni 0.000 0.000 2.183
Ni 0.000 2.183 0.000
Ni 2.183 0.000 0.000
Hg 2.183 2.183 2.183
As 0.000 0.000 0.000
```

---

Compound: NbFeAsAu2
Source: the Alexandria database
Functional: PBE
Structure: optimized geometry

Properties
Formation energy ... 1.09 eV per atom

```
5
Lattice="5.143 0.000 0.000 0.000 5.143 0.000 0.000 0.000 4.866" Properties=species:S:1:pos:R:3 pbc="T T T"
Nb 0.000 0.000 0.000
Fe 2.572 2.572 2.433
As 0.000 0.000 2.433
Au 0.000 2.572 0.000
Au 2.572 0.000 0.000
```

---

Compound: Li5AcZn2
Source: the Alexandria database
Functional: PBE
Structure: optimized geometry

Properties
Formation energy ... -0.07 eV per atom

```
8
Lattice="-2.039 4.153 5.214 2.039 -4.153 5.214 2.039 4.153 -5.214" Properties=species:S:1:pos:R:3 pbc="T T T"
Li 0.000 0.000 0.000
Li 2.039 1.532 -1.644
Li 2.039 1.532 1.644
Li 0.000 2.620 3.570
Li 0.000 2.620 6.858
Ac 0.000 4.153 0.000
Zn 0.000 0.000 2.672
Zn 0.000 0.000 7.756
```

---

Compound: BaAlPt2
Source: the Alexandria database
Functional: PBE
Structure: optimized geometry

Properties
Formation energy ... -0.70 eV per atom

```
8
Lattice="-2.636 2.636 8.183 2.636 -2.636 8.183 2.636 2.636 -8.183" Properties=species:S:1:pos:R:3 pbc="T T T"
Ba 0.000 0.000 0.000
Ba 0.000 2.636 4.091
Al 2.636 0.000 4.091
Al 0.000 0.000 8.183
Pt 1.318 -0.116 6.137
Pt 2.521 1.318 2.046
Pt 1.318 2.752 -2.046
Pt 0.116 1.318 10.229
```

---

Compound: Nd2PuPd
Source: the Alexandria database
Functional: PBE
Structure: optimized geometry

Properties
Formation energy ... 0.06 eV per atom

```
4
Lattice="1.812 1.046 10.773 -1.812 1.046 10.773 0.000 -2.092 10.773" Properties=species:S:1:pos:R:3 pbc="T T T"
Nd 0.000 0.000 3.345
Nd 0.000 0.000 28.973
Pu 0.000 0.000 0.000
Pd 0.000 0.000 16.159
```

---

Compound: RbO2F2
Source: the Alexandria database
Functional: PBE
Structure: optimized geometry

Properties
E_form (uncorrected) ... 36 meV/atom

```
5
Lattice="3.887 0.000 0.000 0.000 3.887 0.000 0.000 0.000 5.831" Properties=species:S:1:pos:R:3 pbc="T T T"
Rb 0.000 0.000 0.000
O 0.000 1.943 2.915
O 1.943 0.000 2.915
F 1.943 1.943 0.000
F 1.943 1.943 2.915
```

---

Compound: ZrU3C4
Source: the Alexandria database
Functional: PBE
Structure: optimized geometry

Properties
Formation energy ... -0.31 eV per atom

```
16
Lattice="6.010 0.000 0.000 0.000 6.945 0.000 -1.974 0.000 5.611" Properties=species:S:1:pos:R:3 pbc="T T T"
Zr -0.494 0.844 1.403
Zr -1.481 6.101 4.208
U -1.481 2.600 4.208
U -0.494 4.345 1.403
U 1.525 0.853 4.208
U 2.512 2.587 1.403
U 1.525 4.358 4.208
U 2.512 6.092 1.403
C 0.491 2.554 2.783
C -0.496 4.391 5.589
C -0.492 0.860 5.606
C 0.495 6.085 2.800
C 3.541 0.860 2.811
C 4.528 6.085 0.005
C 4.533 2.554 0.022
C 3.546 4.391 2.828
```

---

Compound: KBi12Pt4
Source: the Alexandria database
Functional: PBE
Structure: optimized geometry

Properties
Formation energy ... -0.23 eV per atom

```
17
Lattice="-5.022 5.022 5.022 5.022 -5.022 5.022 5.022 5.022 -5.022" Properties=species:S:1:pos:R:3 pbc="T T T"
K 0.000 0.000 0.000
Bi 3.426 0.000 1.602
Bi 6.619 0.000 1.602
Bi 5.022 3.421 -1.596
Bi 1.602 3.426 0.000
Bi 3.421 -1.596 5.022
Bi 5.022 3.421 1.596
Bi 0.000 1.602 3.426
Bi 1.602 6.619 0.000
Bi 3.421 1.596 5.022
Bi 0.000 1.602 6.619
Bi -1.596 5.022 3.421
Bi 1.596 5.022 3.421
Pt 2.511 2.511 -2.511
Pt 2.511 -2.511 2.511
Pt -2.511 2.511 2.511
Pt 2.511 2.511 2.511
```

---

Compound: RbNa2O
Source: the Alexandria database
Functional: PBE
Structure: optimized geometry

Properties
E_form (uncorrected) ... -681 meV/atom

```
4
Lattice="2.026 1.170 8.060 -2.026 1.170 8.060 0.000 -2.339 8.060" Properties=species:S:1:pos:R:3 pbc="T T T"
Rb 0.000 0.000 0.000
Na 0.000 0.000 12.180
Na 0.000 0.000 18.736
O 0.000 0.000 2.939
```

---

Compound: Cs3CaCu2F9
Source: the Alexandria database
Functional: PBE
Structure: optimized geometry

Properties
E_form (uncorrected) ... -2494 meV/atom

```
15
Lattice="6.152 0.000 0.000 -3.076 5.328 0.000 0.000 0.000 7.544" Properties=species:S:1:pos:R:3 pbc="T T T"
Cs 0.000 0.000 0.000
Cs 0.000 3.552 5.060
Cs 3.076 1.776 2.483
Ca 0.000 0.000 3.772
Cu 0.000 3.552 1.193
Cu 3.076 1.776 6.351
F -1.538 2.664 0.000
F 0.000 1.863 2.421
F -1.462 4.396 2.421
F 1.614 0.932 5.122
F 3.076 0.000 0.000
F 1.538 2.664 0.000
F 1.462 4.396 2.421
F 4.538 0.932 5.122
F 3.076 3.464 5.122
```

---

Compound: Rb2TlIn3Bi4
Source: the Alexandria database
Functional: PBE
Structure: optimized geometry

Properties
Formation energy ... -0.17 eV per atom

```
10
Lattice="5.259 0.000 0.000 0.000 5.259 0.000 0.000 0.000 13.688" Properties=species:S:1:pos:R:3 pbc="T T T"
Rb 0.000 2.629 3.408
Rb 2.629 0.000 10.280
Tl 0.000 0.000 6.844
In 0.000 2.629 11.855
In 2.629 0.000 1.832
In 2.629 2.629 6.844
Bi 0.000 0.000 0.000
Bi 0.000 2.629 8.734
Bi 2.629 0.000 4.954
Bi 2.629 2.629 0.000
```

---

Compound: Rb2IrPbBr6
Source: the Alexandria database
Functional: PBE
Structure: optimized geometry

Properties
E_form (uncorrected) ... -880 meV/atom

```
10
Lattice="-3.927 3.927 5.568 3.927 -3.927 5.568 3.927 3.927 -5.568" Properties=species:S:1:pos:R:3 pbc="T T T"
Rb 3.927 0.000 2.784
Rb 0.000 3.927 2.784
Ir 0.000 0.000 0.000
Pb 0.000 0.000 5.568
Br 0.000 0.000 2.571
Br 1.813 1.813 0.000
Br 2.114 -2.114 5.568
Br -2.114 2.114 5.568
Br 0.000 0.000 8.564
Br 2.114 2.114 5.568
```

---

Compound: MgB2S
Source: the Alexandria database
Functional: PBE
Structure: optimized geometry

Properties
E_form (uncorrected) ... -300 meV/atom

```
8
Lattice="3.388 0.000 0.000 -1.484 3.047 0.000 -0.723 -1.295 9.578" Properties=species:S:1:pos:R:3 pbc="T T T"
Mg 0.000 0.000 0.000
Mg 0.043 -0.028 3.158
B -1.457 2.016 5.512
B -0.631 0.561 6.331
B 0.242 1.916 4.912
B 1.030 0.460 5.543
S -0.526 0.702 8.174
S 1.738 1.016 1.651
```

---

Compound: SrCa2AgPt
Source: the Alexandria database
Functional: PBE
Structure: optimized geometry

Properties
Formation energy ... -0.39 eV per atom

```
5
Lattice="5.499 0.000 0.000 0.000 5.499 0.000 0.000 0.000 5.848" Properties=species:S:1:pos:R:3 pbc="T T T"
Sr 0.000 0.000 0.000
Ca 0.000 2.750 2.924
Ca 2.750 0.000 2.924
Ag 2.750 2.750 0.000
Pt 0.000 0.000 2.924
```

---

Compound: Gd2ThTl
Source: the Alexandria database
Functional: PBE
Structure: optimized geometry

Properties
Formation energy ... 0.04 eV per atom

```
4
Lattice="0.000 3.922 3.922 3.922 0.000 3.922 3.922 3.922 0.000" Properties=species:S:1:pos:R:3 pbc="T T T"
Gd 1.961 1.961 1.961
Gd 5.883 5.883 5.883
Th 0.000 0.000 0.000
Tl 3.922 3.922 3.922
```

---

Compound: Nd2Er3Pb4
Source: the Alexandria database
Functional: PBE
Structure: optimized geometry

Properties
Formation energy ... -0.44 eV per atom

```
18
Lattice="3.557 -8.652 0.000 3.557 8.652 0.000 0.000 0.000 9.008" Properties=species:S:1:pos:R:3 pbc="T T T"
Nd 3.557 6.721 8.210
Nd 3.557 1.931 3.705
Nd 3.557 -1.931 5.303
Nd 3.557 -6.721 0.799
Er 0.000 0.000 4.504
Er 1.779 3.581 6.756
Er 1.779 -3.581 2.252
Er 3.557 0.000 0.000
Er 5.336 3.581 6.756
Er 5.336 -3.581 2.252
Pb 3.557 5.432 4.996
Pb 1.779 0.550 6.756
Pb 1.779 -0.550 2.252
Pb 3.557 3.219 0.492
Pb 3.557 -3.219 8.517
Pb 5.336 0.550 6.756
Pb 5.336 -0.550 2.252
Pb 3.557 -5.432 4.013
```

---

Compound: Pa2CoAu
Source: the Alexandria database
Functional: PBE
Structure: optimized geometry

Properties
Formation energy ... -0.21 eV per atom

```
4
Lattice="3.438 0.000 0.000 0.000 3.438 0.000 0.000 0.000 6.933" Properties=species:S:1:pos:R:3 pbc="T T T"
Pa 0.000 0.000 1.412
Pa 0.000 0.000 5.521
Co 1.719 1.719 0.000
Au 1.719 1.719 3.466
```

---

Compound: Tb3Tm4Zr
Source: the Alexandria database
Functional: PBE
Structure: optimized geometry

Properties
Formation energy ... 0.46 eV per atom

```
8
Lattice="5.776 -6.498 0.000 5.776 6.498 0.000 0.000 0.000 3.312" Properties=species:S:1:pos:R:3 pbc="T T T"
Tb 0.000 0.000 0.000
Tb 2.888 3.249 1.656
Tb 2.888 -3.249 1.656
Tm 5.776 3.077 0.000
Tm 3.126 0.000 1.656
Tm 8.425 0.000 1.656
Tm 5.776 -3.077 0.000
Zr 5.776 0.000 0.000
```

---

no.,total magnetic moment (μB per cell),raw total energy (eV per cell)
1,6.212,-33.8
2,0.000,-40.2
3,0.000,-20.7
4,3.523,-24.3
5,0.000,-16.8
6,0.000,-41.1
7,6.419,-28.8
8,3.301,-14.4
9,0.008,-163.5
10,0.000,-75.7
11,0.000,-11.3
12,2.008,-67.0
13,0.000,-29.7
14,0.000,-33.3
15,0.000,-40.6
16,0.000,-16.5
17,16.242,-37.8
18,0.001,-84.1
19,0.000,-30.2
20,1.689,-36.6